## GaSiHgOsRh (PBE-GGA)

Data for crystalline GaSiHgOsRh at its relaxed geometry.

Cell lengths 3.891, 5.036, 5.424 Å; angles 116.80, 110.99, 90.01 degrees
Atoms (fractional coordinates):
Rh1 0.729 0.340 0.615
Si1 0.112 0.046 0.381
Os1 0.076 0.535 0.312
Hg1 0.819 0.926 0.800
Ga1 0.418 0.494 0.996

Output
- Total magnetization: 0.000 μB/atom
- Uncorrected formation energy: 0.095 eV/atom
- Symmetry: P1
- Volume: 17.38 Å³/atom
- Energy: -5.3712 eV/atom
- DOS at the Fermi energy: 3.1 states/eV/f.u.



## K4Pu3TiO12 (PBE-GGA)

Data for crystalline K4Pu3TiO12 at its relaxed geometry.

Cell lengths 7.250, 7.250, 7.250 Å; angles 109.47, 109.47, 109.47 degrees
Each line ends with the local moment (μB).
Atoms (fractional coordinates):
K1 0.500 0.500 0.500  0.00
K2 0.000 0.000 0.500  0.00
K3 0.500 0.000 0.000  0.00
K4 0.000 0.500 0.000  0.00
Pu1 0.500 0.000 0.500  3.10
Pu2 0.500 0.500 0.000  3.10
Pu3 0.000 0.500 0.500  3.10
Ti1 0.000 0.000 0.000  0.08
O1 0.250 0.500 0.750  -0.12
O2 0.756 0.000 0.756  -0.12
O3 0.244 0.000 0.244  -0.12
O4 0.750 0.500 0.250  -0.12
O5 0.756 0.756 0.000  -0.12
O6 0.244 0.244 0.000  -0.12
O7 0.750 0.250 0.500  -0.12
O8 0.250 0.750 0.500  -0.12
O9 0.500 0.250 0.750  -0.12
O10 0.000 0.756 0.756  -0.12
O11 0.500 0.750 0.250  -0.12
O12 0.000 0.244 0.244  -0.12

Output
- Total magnetization: 0.400 μB/atom
- Uncorrected formation energy: -2.520 eV/atom
- Symmetry: Im-3m
- Volume: 14.67 Å³/atom
- Energy: -8.2590 eV/atom
- DOS at the Fermi energy: 10.8 states/eV/f.u.



## HgH2I2 (PBE-GGA)

Data for crystalline HgH2I2 at its relaxed geometry.

Cell lengths 6.810, 6.271, 6.327 Å; angles 115.14, 90.00, 122.89 degrees
Atoms (fractional coordinates):
Hg1 0.000 0.000 0.000
H1 0.637 0.273 0.344
H2 0.363 0.727 0.656
I1 0.245 0.491 0.752
I2 0.755 0.509 0.248

Output
- Total magnetization: 0.000 μB/atom
- Symmetry: C2/m
- Volume: 39.14 Å³/atom
- Energy: -1.9571 eV/atom
- DOS at the Fermi energy: 0.0 states/eV/f.u.



## Ac3Ge5Te12 (PBE-GGA)

Data for crystalline Ac3Ge5Te12 at its relaxed geometry.

Cell lengths 15.477, 15.477, 15.477 Å; angles 109.47, 109.47, 109.47 degrees
Atoms (fractional coordinates):
Ac1 0.750 0.375 0.125
Ac2 0.875 0.750 0.125
Ac3 0.375 0.750 0.625
Ac4 0.250 0.125 0.375
Ac5 0.875 0.125 0.250
Ac6 0.375 0.625 0.250
Ac7 0.625 0.375 0.750
Ac8 0.125 0.875 0.750
Ac9 0.750 0.875 0.625
Ac10 0.625 0.250 0.375
Ac11 0.125 0.250 0.875
Ac12 0.250 0.625 0.875
Ge1 0.125 0.375 0.250
Ge2 0.000 0.500 0.000
Ge3 0.000 0.000 0.000
Ge4 0.375 0.250 0.125
Ge5 0.500 0.000 0.500
Ge6 0.500 0.500 0.000
Ge7 0.125 0.750 0.375
Ge8 0.750 0.125 0.875
Ge9 0.750 0.625 0.375
Ge10 0.375 0.125 0.750
Ge11 0.625 0.875 0.250
Ge12 0.500 0.500 0.500
Ge13 0.500 0.000 0.000
Ge14 0.000 0.000 0.500
Ge15 0.250 0.375 0.625
Ge16 0.250 0.875 0.125
Ge17 0.000 0.500 0.500
Ge18 0.875 0.250 0.625
Ge19 0.625 0.750 0.875
Ge20 0.875 0.625 0.750
Te1 0.709 0.122 0.031
Te2 0.322 0.531 0.409
Te3 0.969 0.378 0.291
Te4 0.531 0.209 0.122
Te5 0.587 0.709 0.678
Te6 0.969 0.591 0.178
Te7 0.322 0.791 0.413
Te8 0.091 0.913 0.122
Te9 0.591 0.969 0.678
Te10 0.709 0.587 0.178
Te11 0.791 0.469 0.378
Te12 0.822 0.909 0.031
Te13 0.122 0.709 0.531
Te14 0.378 0.409 0.087
Te15 0.087 0.909 0.378
Te16 0.413 0.122 0.591
Te17 0.087 0.178 0.209
Te18 0.469 0.678 0.091
Te19 0.822 0.913 0.291
Te20 0.122 0.413 0.091
Te21 0.378 0.969 0.791
Te22 0.591 0.622 0.413
Te23 0.909 0.822 0.531
Te24 0.791 0.322 0.913
Te25 0.409 0.378 0.587
Te26 0.091 0.178 0.469
Te27 0.209 0.678 0.087
Te28 0.178 0.087 0.709
Te29 0.622 0.031 0.209
Te30 0.878 0.587 0.909
Te31 0.531 0.322 0.909
Te32 0.587 0.878 0.409
Te33 0.913 0.822 0.791
Te34 0.913 0.091 0.622
Te35 0.878 0.291 0.469
Te36 0.178 0.091 0.969
Te37 0.622 0.591 0.913
Te38 0.409 0.031 0.322
Te39 0.291 0.413 0.822
Te40 0.209 0.531 0.622
Te41 0.909 0.087 0.878
Te42 0.678 0.209 0.587
Te43 0.469 0.791 0.878
Te44 0.031 0.409 0.822
Te45 0.413 0.291 0.322
Te46 0.031 0.622 0.709
Te47 0.678 0.469 0.591
Te48 0.291 0.878 0.969

Output
- Total magnetization: 0.000 μB/atom
- Uncorrected formation energy: -0.594 eV/atom
- Symmetry: Ia-3d
- Volume: 35.67 Å³/atom
- Energy: -4.2498 eV/atom
- DOS at the Fermi energy: 5.4 states/eV/f.u.



## CaAcH (PBE-GGA)

Data for crystalline CaAcH at its relaxed geometry.

Cell lengths 3.600, 3.600, 7.296 Å; angles 104.28, 104.28, 90.00 degrees
Atoms (fractional coordinates):
H1 0.218 0.218 0.436
Ac1 0.034 0.034 0.068
Ca1 0.748 0.748 0.496

Output
- Total magnetization: 0.000 μB/atom
- Symmetry: I4mm
- Volume: 29.54 Å³/atom
- Energy: -3.1608 eV/atom
- DOS at the Fermi energy: 2.6 states/eV/f.u.



## MgNi2Sn2 (PBE-GGA)

Data for crystalline MgNi2Sn2 at its relaxed geometry.

Cell lengths 3.944, 3.944, 6.745 Å; angles 73.00, 73.00, 90.00 degrees
Atoms (fractional coordinates):
Ni1 0.750 0.250 0.500
Ni2 0.250 0.750 0.500
Mg1 0.000 0.000 0.000
Sn1 0.381 0.381 0.238
Sn2 0.619 0.619 0.762

Output
- Total magnetization: 0.000 μB/atom
- Symmetry: I4/mmm
- Volume: 19.11 Å³/atom
- Energy of formation: 1 meV/atom
- Energy: -4.2320 eV/atom
- DOS at the Fermi energy: 2.8 states/eV/f.u.



## Sc3TlH (PBE-GGA)

Data for crystalline Sc3TlH at its relaxed geometry.

Cell lengths 5.149, 5.149, 11.503 Å; angles 77.07, 77.07, 90.00 degrees
Atoms (fractional coordinates):
Sc1 0.627 0.873 0.254
Sc2 0.127 0.373 0.746
Sc3 0.127 0.881 0.746
Sc4 0.119 0.873 0.254
Sc5 0.306 0.306 0.389
Sc6 0.694 0.694 0.611
H1 0.652 0.152 0.695
H2 0.848 0.348 0.305
Tl1 0.000 0.000 0.000
Tl2 0.250 0.750 0.500

Output
- Total magnetization: 0.000 μB/atom
- Symmetry: I-4m2
- Volume: 28.93 Å³/atom
- Energy: -4.2429 eV/atom
- DOS at the Fermi energy: 10.7 states/eV/f.u.



## MnAsAu2 (PBE-GGA)

Data for crystalline MnAsAu2 at its relaxed geometry.

Cell lengths 7.502, 7.502, 5.942 Å; angles 50.85, 50.85, 90.00 degrees
Each line ends with the local moment (μB).
Atoms (fractional coordinates):
As1 0.000 0.000 0.000  -0.07
As2 0.750 0.250 0.500  -0.07
Mn1 0.500 0.500 0.000  3.80
Mn2 0.250 0.750 0.500  3.80
Au1 0.634 0.125 0.250  0.00
Au2 0.116 0.625 0.250  0.00
Au3 0.375 0.366 0.750  0.00
Au4 0.875 0.884 0.750  0.00

Output
- Total magnetization: 0.963 μB/atom
- Symmetry: I-42d
- Volume: 18.83 Å³/atom
- Energy of formation: 162 meV/atom
- Energy: -4.9312 eV/atom
- DOS at the Fermi energy: 2.3 states/eV/f.u.



## SrNp2O6 (PBE-GGA)

Data for crystalline SrNp2O6 at its relaxed geometry.

Cell lengths 5.063, 5.888, 5.888 Å; angles 120.00, 90.00, 90.00 degrees
Each line ends with the local moment (μB).
Atoms (fractional coordinates):
Sr1 0.000 0.000 0.000  0.00
Np1 0.500 0.667 0.333  2.24
Np2 0.500 0.333 0.667  2.24
O1 0.711 0.632 0.632  -0.09
O2 0.289 0.632 0.000  -0.09
O3 0.289 0.000 0.632  -0.09
O4 0.711 0.368 0.000  -0.09
O5 0.289 0.368 0.368  -0.09
O6 0.711 0.000 0.368  -0.09

Output
- Total magnetization: 0.444 μB/atom
- Uncorrected formation energy: -2.968 eV/atom
- Symmetry: P-31m
- Volume: 16.89 Å³/atom
- Energy: -9.3358 eV/atom
- DOS at the Fermi energy: 14.3 states/eV/f.u.



## Ac2GeF (PBE-GGA)

Data for crystalline Ac2GeF at its relaxed geometry.

Cell lengths 4.423, 4.423, 8.683 Å; angles 75.24, 75.24, 60.00 degrees
Each line ends with the local moment (μB).
Atoms (fractional coordinates):
Ac1 0.092 0.092 0.723  0.05
Ac2 0.279 0.279 0.162  0.08
Ge1 0.679 0.679 0.962  0.01
F1 0.449 0.449 0.653  0.02

Output
- Total magnetization: 0.182 μB/atom
- Uncorrected formation energy: -1.535 eV/atom
- Symmetry: R3m
- Volume: 35.15 Å³/atom
- Energy: -5.2118 eV/atom
- DOS at the Fermi energy: 2.6 states/eV/f.u.



Look up the energy of the ninth one. -9.3358 eV/atom